# 1
# NpMnH3, relaxed, DFT GGA-PBE
# final energy: -32.8 eV/f.u.
data_NpMnH3
_chemical_formula_sum 'Np1 Mn1 H3'
_symmetry_space_group_name_H-M 'P m -3 m'
_symmetry_Int_Tables_number 221
_symmetry_space_group_name_Hall '-P 4 2 3'
_cell_length_a 3.560
_cell_length_b 3.560
_cell_length_c 3.560
_cell_angle_alpha 90.00
_cell_angle_beta 90.00
_cell_angle_gamma 90.00
loop_
_atom_site_label
_atom_site_type_symbol
_atom_site_fract_x
_atom_site_fract_y
_atom_site_fract_z
_atom_site_occupancy
Np1 Np 0.000 0.000 0.000 1
Mn1 Mn 0.500 0.500 0.500 1
H1 H 0.000 0.500 0.500 1

# 2
# NpMnH, relaxed, DFT GGA-PBE
# distance to the lowest polymorph of the same formula: 267.0 meV per atom
# final energy: -24.3 eV/f.u.
data_NpMnH
_chemical_formula_sum 'Np2 Mn2 H2'
_symmetry_space_group_name_H-M 'I 4 m m'
_symmetry_Int_Tables_number 107
_symmetry_space_group_name_Hall 'I 4 -2'
_cell_length_a 3.165
_cell_length_b 3.165
_cell_length_c 8.353
_cell_angle_alpha 90.00
_cell_angle_beta 90.00
_cell_angle_gamma 90.00
loop_
_atom_site_label
_atom_site_type_symbol
_atom_site_fract_x
_atom_site_fract_y
_atom_site_fract_z
_atom_site_occupancy
Np1 Np 0.000 0.000 0.000 1
Mn1 Mn 0.000 0.000 0.257 1
H1 H 0.000 0.000 0.482 1

# 3
# NpMn2H8, relaxed, DFT GGA-PBE
# final energy: -57.7 eV/f.u.
data_NpMn2H8
_chemical_formula_sum 'Np1 Mn2 H8'
_symmetry_space_group_name_H-M 'P 4/m m m'
_symmetry_Int_Tables_number 123
_symmetry_space_group_name_Hall '-P 4 2'
_cell_length_a 4.006
_cell_length_b 4.006
_cell_length_c 4.898
_cell_angle_alpha 90.00
_cell_angle_beta 90.00
_cell_angle_gamma 90.00
loop_
_atom_site_label
_atom_site_type_symbol
_atom_site_fract_x
_atom_site_fract_y
_atom_site_fract_z
_atom_site_occupancy
Np1 Np 0.000 0.000 0.000 1
Mn1 Mn 0.000 0.500 0.500 1
H1 H 0.284 0.284 0.308 1